(1)
RhBrNF2 | PBE | optimized geometry

a b c (Å): 4.753 4.753 3.642
angles (deg): 90.00 90.00 90.00
Fractional positions:
N: 0.000 0.000 0.500
Rh: 0.500 0.500 0.500
Br: 0.000 0.000 0.000
F: 0.000 0.500 0.000
F: 0.500 0.000 0.000

For the energy, the calculation gives -3.20 eV per atom. For the total magnetization, the calculation gives 2.112 μB/f.u. For the uncorrected formation energy, the calculation gives 98.1 kJ per mole of atoms. Its energy above the lowest structure with this stoichiometry is 1005 meV/atom.



(2)
Nb11In3 | PBE | optimized geometry

a b c (Å): 4.962 8.212 8.212
angles (deg): 107.14 72.42 72.42
Fractional positions:
Nb: 0.000 0.500 0.500
Nb: 0.500 0.310 0.690
Nb: 0.500 0.690 0.310
Nb: 0.687 0.919 0.707
Nb: 0.313 0.081 0.293
Nb: 0.687 0.707 0.919
Nb: 0.313 0.293 0.081
Nb: 0.834 0.955 0.377
Nb: 0.166 0.045 0.623
Nb: 0.834 0.377 0.955
Nb: 0.166 0.623 0.045
In: 0.000 0.000 0.000
In: 0.677 0.323 0.323
In: 0.323 0.677 0.677

For the energy, the calculation gives -8.20 eV per atom. For the total magnetization, the calculation gives 0.000 μB/f.u. The value obtained for the energy of formation from the pure elements is 0.30 eV/atom.



(3)
Hf6In2Ru | PBE | optimized geometry

a b c (Å): 4.797 6.512 8.062
angles (deg): 113.82 107.27 90.00
Fractional positions:
Hf: 0.147 0.393 0.295
Hf: 0.853 0.098 0.705
Hf: 0.853 0.607 0.705
Hf: 0.500 0.239 0.000
Hf: 0.147 0.902 0.295
Hf: 0.500 0.761 0.000
In: 0.676 0.677 0.354
In: 0.324 0.323 0.646
Ru: 0.000 0.000 0.000

For the energy, the calculation gives -8.11 eV per atom. For the total magnetization, the calculation gives 0.000 μB/f.u. The value obtained for the energy of formation from the pure elements is 0.16 eV/atom.



(4)
Ac6In6Pb | PBE | optimized geometry

a b c (Å): 6.827 6.827 11.532
angles (deg): 90.00 90.00 119.99
Fractional positions:
Ac: 0.000 0.000 0.700
Ac: 0.000 0.000 0.300
Ac: 0.333 0.667 0.000
Ac: 0.667 0.333 0.000
Ac: 0.333 0.667 0.500
Ac: 0.667 0.333 0.500
In: 0.000 0.500 0.749
In: 0.500 0.000 0.749
In: 0.500 0.500 0.749
In: 0.500 0.000 0.251
In: 0.000 0.500 0.251
In: 0.500 0.500 0.251
Pb: 0.000 0.000 0.000

For the energy, the calculation gives -3.76 eV per atom. For the total magnetization, the calculation gives 0.001 μB/f.u. The value obtained for the energy of formation from the pure elements is -0.32 eV/atom.



(5)
Sr5Cd2Ge2 | PBE | optimized geometry

a b c (Å): 8.304 8.305 9.860
angles (deg): 90.00 65.10 90.00
Fractional positions:
Sr: 0.000 0.000 0.000
Sr: 0.500 0.500 0.000
Sr: 0.449 0.177 0.746
Sr: 0.805 0.823 0.746
Sr: 0.305 0.677 0.746
Sr: 0.949 0.323 0.746
Sr: 0.551 0.823 0.254
Sr: 0.195 0.177 0.254
Sr: 0.695 0.323 0.254
Sr: 0.051 0.677 0.254
Cd: 0.214 0.000 0.571
Cd: 0.714 0.500 0.571
Cd: 0.786 0.000 0.429
Cd: 0.286 0.500 0.429
Ge: 0.113 0.388 0.000
Ge: 0.887 0.612 0.000
Ge: 0.387 0.888 0.000
Ge: 0.613 0.112 0.000

For the energy, the calculation gives -2.57 eV per atom. For the total magnetization, the calculation gives 0.000 μB/f.u. The value obtained for the energy of formation from the pure elements is -0.40 eV/atom.



(6)
K2Cu2Cl5 | PBE | optimized geometry

a b c (Å): 4.726 4.726 9.978
angles (deg): 90.00 90.00 90.00
Fractional positions:
K: 0.038 0.038 0.000
K: 0.037 0.037 0.500
Cu: 0.537 0.537 0.251
Cu: 0.537 0.537 0.749
Cl: 0.037 0.538 0.785
Cl: 0.538 0.037 0.215
Cl: 0.538 0.037 0.785
Cl: 0.037 0.538 0.215
Cl: 0.537 0.537 0.500

For the energy, the calculation gives -3.33 eV per atom. For the total magnetization, the calculation gives 0.000 μB/f.u. For the uncorrected formation energy, the calculation gives -110.5 kJ per mole of atoms. Its energy above the lowest structure with this stoichiometry is 15 meV/atom.